1.
# AlHg5

A relaxed AlHg5 crystal (GGA-PBE, Alexandria).

Computed properties:
Distance to the lowest polymorph of the same formula, meV per atom: 53

Structure (CIF):
```
data_AlHg5
_chemical_formula_sum 'Al1 Hg5'
_cell_length_a 5.6949
_cell_length_b 5.6949
_cell_length_c 5.3071
_cell_angle_alpha 90.00
_cell_angle_beta 90.00
_cell_angle_gamma 120.00
_symmetry_space_group_name_H-M 'P -6 2 m'
_symmetry_Int_Tables_number 189
_symmetry_space_group_name_Hall 'P -6 -2'
loop_
_atom_site_label
_atom_site_fract_x
_atom_site_fract_y
_atom_site_fract_z
Al1 0.0000 0.0000 0.0000
Hg1 0.0000 0.6764 0.5000
Hg2 0.3333 0.6667 0.0000
```



2.
# La2Pr2Ir

A relaxed La2Pr2Ir crystal (GGA-PBE, Alexandria).

Structure (CIF):
```
data_La2Pr2Ir
_chemical_formula_sum 'La8 Pr8 Ir4'
_cell_length_a 7.7349
_cell_length_b 12.4658
_cell_length_c 7.5564
_cell_angle_alpha 90.00
_cell_angle_beta 112.98
_cell_angle_gamma 90.00
_symmetry_space_group_name_H-M 'C 1 2/m 1'
_symmetry_Int_Tables_number 12
_symmetry_space_group_name_Hall '-C 2y'
loop_
_atom_site_label
_atom_site_fract_x
_atom_site_fract_y
_atom_site_fract_z
La1 0.0531 0.2244 0.2565
Pr1 0.2261 0.5000 0.8926
Pr2 0.2456 0.0000 0.6104
Ir1 0.0000 0.3722 0.5000
```



3.
# Tl12Cd2Pb5

A relaxed Tl12Cd2Pb5 crystal (GGA-PBE, Alexandria).

Computed properties:
Distance to the lowest polymorph of the same formula, meV per atom: 0

Structure (CIF):
```
data_Tl12Cd2Pb5
_chemical_formula_sum 'Tl24 Cd4 Pb10'
_cell_length_a 20.3788
_cell_length_b 10.7643
_cell_length_c 5.5210
_cell_angle_alpha 90.00
_cell_angle_beta 104.48
_cell_angle_gamma 90.00
_symmetry_space_group_name_H-M 'C 1 2/m 1'
_symmetry_Int_Tables_number 12
_symmetry_space_group_name_Hall '-C 2y'
loop_
_atom_site_label
_atom_site_fract_x
_atom_site_fract_y
_atom_site_fract_z
Tl1 0.0870 0.0000 0.1027
Tl2 0.0899 0.2278 0.5940
Tl3 0.0956 0.5000 0.0939
Tl4 0.1982 0.2392 0.1984
Cd1 0.0000 0.2579 0.0000
Pb1 0.0000 0.5000 0.5000
Pb2 0.1877 0.5000 0.6819
Pb3 0.2044 0.0000 0.7120
```



4.
# NaHg2F

A relaxed NaHg2F crystal (GGA-PBE, Alexandria).

Computed properties:
Distance to the lowest polymorph of the same formula, meV per atom: 315

Structure (CIF):
```
data_NaHg2F
_chemical_formula_sum 'Na4 Hg8 F4'
_cell_length_a 7.2271
_cell_length_b 7.2271
_cell_length_c 7.2271
_cell_angle_alpha 90.00
_cell_angle_beta 90.00
_cell_angle_gamma 90.00
_symmetry_space_group_name_H-M 'F m -3 m'
_symmetry_Int_Tables_number 225
_symmetry_space_group_name_Hall '-F 4 2 3'
loop_
_atom_site_label
_atom_site_fract_x
_atom_site_fract_y
_atom_site_fract_z
Na1 0.0000 0.0000 0.0000
Hg1 0.2500 0.2500 0.2500
F1 0.0000 0.0000 0.5000
```



5.
# PrSm3Ga2

A relaxed PrSm3Ga2 crystal (GGA-PBE, Alexandria).

Computed properties:
Distance to the lowest polymorph of the same formula, meV per atom: 0

Structure (CIF):
```
data_PrSm3Ga2
_chemical_formula_sum 'Pr2 Sm6 Ga4'
_cell_length_a 5.1338
_cell_length_b 9.6938
_cell_length_c 6.6942
_cell_angle_alpha 90.00
_cell_angle_beta 90.00
_cell_angle_gamma 90.00
_symmetry_space_group_name_H-M 'P m c 21'
_symmetry_Int_Tables_number 26
_symmetry_space_group_name_Hall 'P 2c -2'
loop_
_atom_site_label
_atom_site_fract_x
_atom_site_fract_y
_atom_site_fract_z
Pr1 0.0000 0.0515 0.0000
Sm1 0.0000 0.3304 0.6533
Sm2 0.5000 0.1751 0.2953
Sm3 0.5000 0.4453 0.9505
Ga1 0.0000 0.3544 0.1847
Ga2 0.5000 0.1481 0.7616
```



6.
# LiB2C2

A relaxed LiB2C2 crystal (GGA-PBE, Alexandria).

Computed properties:
Distance to the lowest polymorph of the same formula, meV per atom: 36

Structure (CIF):
```
data_LiB2C2
_chemical_formula_sum 'Li8 B16 C16'
_cell_length_a 14.6334
_cell_length_b 5.3964
_cell_length_c 4.6960
_cell_angle_alpha 90.00
_cell_angle_beta 90.00
_cell_angle_gamma 90.00
_symmetry_space_group_name_H-M 'C m c 21'
_symmetry_Int_Tables_number 36
_symmetry_space_group_name_Hall 'C 2c -2'
loop_
_atom_site_label
_atom_site_fract_x
_atom_site_fract_y
_atom_site_fract_z
Li1 0.1248 0.1447 0.0000
B1 0.0000 0.1272 0.6654
B2 0.0000 0.3783 0.1702
B3 0.2495 0.1244 0.3318
C1 0.0000 0.1241 0.3293
C2 0.0000 0.3738 0.8364
C3 0.2471 0.1254 0.6668
```



7.
# UTaPd14

A relaxed UTaPd14 crystal (GGA-PBE, Alexandria).

Structure (CIF):
```
data_UTaPd14
_chemical_formula_sum 'U1 Ta1 Pd14'
_cell_length_a 5.7222
_cell_length_b 5.7222
_cell_length_c 7.7939
_cell_angle_alpha 90.00
_cell_angle_beta 90.00
_cell_angle_gamma 90.00
_symmetry_space_group_name_H-M 'P 4/m m m'
_symmetry_Int_Tables_number 123
_symmetry_space_group_name_Hall '-P 4 2'
loop_
_atom_site_label
_atom_site_fract_x
_atom_site_fract_y
_atom_site_fract_z
U1 0.0000 0.0000 0.0000
Ta1 0.5000 0.5000 0.0000
Pd1 0.0000 0.0000 0.5000
Pd2 0.0000 0.5000 0.0000
Pd3 0.0000 0.5000 0.5000
Pd4 0.2523 0.2523 0.2448
Pd5 0.5000 0.5000 0.5000
```



8.
# TlHg3

A relaxed TlHg3 crystal (GGA-PBE, Alexandria).

Structure (CIF):
```
data_TlHg3
_chemical_formula_sum 'Tl2 Hg6'
_cell_length_a 3.8434
_cell_length_b 5.6769
_cell_length_c 10.4592
_cell_angle_alpha 90.00
_cell_angle_beta 90.00
_cell_angle_gamma 90.00
_symmetry_space_group_name_H-M 'C m m m'
_symmetry_Int_Tables_number 65
_symmetry_space_group_name_Hall '-C 2 2'
loop_
_atom_site_label
_atom_site_fract_x
_atom_site_fract_y
_atom_site_fract_z
Tl1 0.0000 0.0000 0.0000
Hg1 0.0000 0.0000 0.5000
Hg2 0.0000 0.5000 0.2587
```



Number 1: raw total energy -0.746 eV/atom, total magnetization 0.00 μB/f.u.. Number 2: raw total energy -5.951 eV/atom, total magnetization 0.00 μB/f.u.. Number 3: raw total energy -2.534 eV/atom, total magnetization 0.00 μB/f.u.. Number 4: raw total energy -1.715 eV/atom, total magnetization 0.00 μB/f.u.. Number 5: raw total energy -4.558 eV/atom, total magnetization 0.00 μB/f.u.. Number 6: raw total energy -6.777 eV/atom, total magnetization 0.00 μB/f.u.. Number 7: raw total energy -6.316 eV/atom, total magnetization 0.01 μB/f.u.. Number 8: raw total energy -0.816 eV/atom, total magnetization 0.00 μB/f.u..